Below is a relaxed structure of Ac3IrN, with properties calculated at the PBE level.

Unit cell a=4.428 b=22.157 c=6.944 alpha=90.00 beta=90.00 gamma=90.00
Space group Ama2 (No. 40)
Unique sites:
Ac 0.250 0.085 0.000 (multiplicity 4)
Ac 0.250 0.280 0.419 (multiplicity 4)
Ac 0.250 0.396 0.964 (multiplicity 4)
Ir 0.250 0.168 0.676 (multiplicity 4)
N 0.250 0.375 0.618 (multiplicity 4)

Results
As for the distance to the lowest polymorph of the same formula: 0.0000 eV/atom.


Below is a relaxed structure of Ac6Ir3N, with properties calculated at the PBE level.

Unit cell a=7.114 b=7.775 c=12.734 alpha=90.00 beta=121.92 gamma=90.00
Space group P2_1/c (No. 14)
Unique sites:
Ac 0.100 0.192 0.433 (multiplicity 4)
Ac 0.227 0.672 0.424 (multiplicity 4)
Ac 0.386 0.052 0.241 (multiplicity 4)
Ir 0.198 0.102 0.742 (multiplicity 4)
Ir 0.500 0.000 0.500 (multiplicity 2)
N 0.000 0.000 0.000 (multiplicity 2)

Results
As for the distance to the lowest polymorph of the same formula: 0.0000 eV/atom.


Below is a relaxed structure of Ac6IrN2, with properties calculated at the PBE level.

Unit cell a=14.608 b=12.778 c=7.496 alpha=90.00 beta=111.03 gamma=90.00
Space group C2/c (No. 15)
Unique sites:
Ac 0.109 0.076 0.496 (multiplicity 8)
Ac 0.120 0.255 0.084 (multiplicity 8)
Ac 0.124 0.429 0.648 (multiplicity 8)
Ir 0.000 0.405 0.250 (multiplicity 4)
N 0.075 0.084 0.138 (multiplicity 8)


Below is a relaxed structure of Ac4IrN3, with properties calculated at the PBE level.

Unit cell a=5.708 b=5.708 c=11.242 alpha=90.00 beta=90.00 gamma=90.00
Space group I4/mmm (No. 139)
Unique sites:
Ac 0.000 0.000 0.235 (multiplicity 4)
Ac 0.000 0.500 0.000 (multiplicity 4)
Ir 0.000 0.000 0.500 (multiplicity 2)
N 0.000 0.000 0.000 (multiplicity 2)
N 0.000 0.500 0.250 (multiplicity 4)


Below is a relaxed structure of Ac12Ir6N, with properties calculated at the PBE level.

Unit cell a=13.2019 b=13.2019 c=12.5453 alpha=90.00 beta=90.00 gamma=120.00
Space group R-3 (No. 148, hexagonal axes)
Unique sites:
Ac 0.0231 0.8066 0.3935 (multiplicity 18)
Ac 0.0347 0.8408 0.8857 (multiplicity 18)
Ir 0.0497 0.7798 0.6510 (multiplicity 18)
N 0.0000 0.0000 0.0000 (multiplicity 3)


Below is a relaxed structure of Ac6Ir3N, with properties calculated at the PBE level.

Unit cell a=10.107 b=4.284 c=14.436 alpha=90.00 beta=93.30 gamma=90.00
Space group P2_1/m (No. 11)
Unique sites:
Ac 0.008 0.250 0.373 (multiplicity 2)
Ac 0.050 0.250 0.875 (multiplicity 2)
Ac 0.312 0.750 0.297 (multiplicity 2)
Ac 0.341 0.750 0.038 (multiplicity 2)
Ac 0.357 0.250 0.527 (multiplicity 2)
Ac 0.374 0.750 0.756 (multiplicity 2)
Ir 0.142 0.250 0.182 (multiplicity 2)
Ir 0.169 0.750 0.467 (multiplicity 2)
Ir 0.363 0.250 0.894 (multiplicity 2)
N 0.472 0.250 0.376 (multiplicity 2)

Results
As for the distance to the lowest polymorph of the same formula: 0.0207 eV/atom.


Below is a relaxed structure of Ac3IrN, with properties calculated at the PBE level.

Unit cell a=5.177 b=5.177 c=5.177 alpha=90.00 beta=90.00 gamma=90.00
Space group Pm-3m (No. 221)
Unique sites:
Ac 0.000 0.000 0.500 (multiplicity 3)
Ir 0.500 0.500 0.500 (multiplicity 1)
N 0.000 0.000 0.000 (multiplicity 1)

Results
As for the distance to the lowest polymorph of the same formula: 0.3019 eV/atom.


Below is a relaxed structure of Ac4IrN, with properties calculated at the PBE level.

Unit cell a=6.847 b=4.166 c=7.220 alpha=90.00 beta=92.63 gamma=90.00
Space group P2/m (No. 10)
Unique sites:
Ac 0.222 0.000 0.312 (multiplicity 2)
Ac 0.225 0.500 0.860 (multiplicity 2)
Ir 0.000 0.500 0.500 (multiplicity 1)
N 0.000 0.000 0.000 (multiplicity 1)


no.,E_form (uncorrected) (eV per atom),total DFT energy (no corrections) (eV/atom)
1,-0.705,-6.61
2,-0.639,-6.59
3,-0.644,-6.22
4,-0.844,-7.13
5,-0.574,-6.41
6,-0.618,-6.57
7,-0.403,-6.31
8,-0.568,-6.17